Entry 1:
TbSi4OsRu2 PBE relaxed; density of states at the Fermi level = 2.672 states/eV per cell; formation energy from raw total energies = -56.9 kJ per mole of atoms
1.0
2.0564 1.1873 8.4151
-2.0564 1.1873 8.4151
0.0000 -2.3745 8.4151
Tb Si Os Ru
1 4 1 2
Cartesian
0.0000 0.0000 0.0000 Tb
0.0000 0.0000 3.3102 Si
0.0000 0.0000 10.1285 Si
0.0000 0.0000 15.1167 Si
0.0000 0.0000 21.9350 Si
0.0000 0.0000 12.6226 Os
0.0000 0.0000 5.9173 Ru
0.0000 0.0000 19.3279 Ru


Entry 2:
ThSi3OsRu PBE relaxed; density of states at the Fermi level = 6.201 states/eV per cell; formation energy from raw total energies = -35.7 kJ per mole of atoms
1.0
3.0804 -6.4617 0.0000
3.0804 6.4617 0.0000
0.0000 0.0000 5.9068
Th Si Os Ru
2 6 2 2
Cartesian
3.0804 3.9616 4.4301 Th
3.0804 -3.9616 1.4767 Th
3.0804 3.7453 1.4767 Si
1.8581 0.0000 0.0000 Si
1.8581 0.0000 2.9534 Si
4.3028 0.0000 0.0000 Si
4.3028 0.0000 2.9534 Si
3.0804 -3.7453 4.4301 Si
3.0804 1.4819 1.4767 Os
3.0804 -1.4819 4.4301 Os
3.0804 6.0018 1.4767 Ru
3.0804 -6.0018 4.4301 Ru


Entry 3:
ThSi2OsRu PBE relaxed; density of states at the Fermi level = 3.292 states/eV per cell; formation energy from raw total energies = -83.1 kJ per mole of atoms
1.0
-2.1138 2.1138 4.8905
2.1138 -2.1138 4.8905
2.1138 2.1138 -4.8905
Th Si Os Ru
1 2 1 1
Cartesian
0.0000 0.0000 0.0000 Th
0.0000 0.0000 3.6056 Si
0.0000 0.0000 6.1755 Si
0.0000 2.1138 2.4453 Os
2.1138 0.0000 2.4453 Ru


Entry 4:
TmSi3OsRu PBE relaxed; density of states at the Fermi level = 3.482 states/eV per cell; formation energy from raw total energies = -32.0 kJ per mole of atoms
1.0
3.7909 -5.8699 0.0000
3.7909 5.8699 0.0000
0.0000 0.0000 5.2948
Tm Si Os Ru
2 6 2 2
Cartesian
3.7909 3.5595 3.9711 Tm
3.7909 -3.5595 1.3237 Tm
1.9025 0.0000 0.0000 Si
1.9025 0.0000 2.6474 Si
3.7909 2.8619 1.3237 Si
3.7909 -2.8619 3.9711 Si
5.6793 0.0000 0.0000 Si
5.6793 0.0000 2.6474 Si
3.7909 5.0778 1.3237 Os
3.7909 -5.0778 3.9711 Os
3.7909 0.7076 1.3237 Ru
3.7909 -0.7076 3.9711 Ru


Entry 5:
USi2OsRu PBE relaxed; density of states at the Fermi level = 4.813 states/eV per cell; formation energy from raw total energies = -58.0 kJ per mole of atoms
1.0
-2.0792 2.0792 4.7769
2.0792 -2.0792 4.7769
2.0792 2.0792 -4.7769
U Si Os Ru
1 2 1 1
Cartesian
0.0000 0.0000 0.0000 U
0.0000 0.0000 3.5795 Si
0.0000 0.0000 5.9743 Si
0.0000 2.0792 2.3884 Os
2.0792 0.0000 2.3884 Ru


Entry 6:
USi2OsRu2 PBE relaxed; density of states at the Fermi level = 11.909 states/eV per cell; formation energy from raw total energies = 27.1 kJ per mole of atoms
1.0
4.5684 0.0000 0.0000
0.0000 4.5684 0.0000
0.0000 0.0000 5.1905
U Si Os Ru
1 2 1 2
Cartesian
0.0000 0.0000 0.0000 U
0.0000 2.2842 2.5953 Si
2.2842 0.0000 2.5953 Si
0.0000 0.0000 2.5953 Os
2.2842 2.2842 1.2713 Ru
2.2842 2.2842 3.9192 Ru


Entry 7:
U2Si6OsRu PBE relaxed; density of states at the Fermi level = 13.005 states/eV per cell; formation energy from raw total energies = 28.4 kJ per mole of atoms
1.0
0.0000 4.5808 4.5808
4.5808 0.0000 4.5808
4.5808 4.5808 0.0000
U Si Os Ru
2 6 1 1
Cartesian
2.2904 2.2904 2.2904 U
6.8712 6.8712 6.8712 U
4.5808 4.5808 2.2763 Si
4.5808 2.2763 4.5808 Si
6.8853 4.5808 4.5808 Si
2.2763 4.5808 4.5808 Si
4.5808 6.8853 4.5808 Si
4.5808 4.5808 6.8853 Si
4.5808 4.5808 4.5808 Os
0.0000 0.0000 0.0000 Ru


Entry 8:
YSi2OsRu PBE relaxed; density of states at the Fermi level = 2.081 states/eV per cell; formation energy from raw total energies = -79.5 kJ per mole of atoms
1.0
-2.0910 2.0910 4.8056
2.0910 -2.0910 4.8056
2.0910 2.0910 -4.8056
Y Si Os Ru
1 2 1 1
Cartesian
0.0000 0.0000 0.0000 Y
0.0000 0.0000 3.5569 Si
0.0000 0.0000 6.0544 Si
2.0910 0.0000 2.4028 Os
0.0000 2.0910 2.4028 Ru


Entry 9:
YSi4OsRu2 PBE relaxed; density of states at the Fermi level = 2.769 states/eV per cell; formation energy from raw total energies = -57.0 kJ per mole of atoms
1.0
2.0561 1.1871 8.3982
-2.0561 1.1871 8.3982
0.0000 -2.3742 8.3982
Y Si Os Ru
1 4 1 2
Cartesian
0.0000 0.0000 0.0000 Y
0.0000 0.0000 3.3052 Si
0.0000 0.0000 10.1036 Si
0.0000 0.0000 15.0909 Si
0.0000 0.0000 21.8894 Si
0.0000 0.0000 12.5973 Os
0.0000 0.0000 5.9099 Ru
0.0000 0.0000 19.2846 Ru


Entry 10:
YSi3OsRu PBE relaxed; density of states at the Fermi level = 4.868 states/eV per cell; formation energy from raw total energies = -35.6 kJ per mole of atoms
1.0
3.8255 -5.5760 0.0000
3.8255 5.5760 0.0000
0.0000 0.0000 5.4126
Y Si Os Ru
2 6 2 2
Cartesian
3.8255 2.9293 4.0594 Y
3.8255 -2.9293 1.3531 Y
3.8255 2.7877 1.3531 Si
1.9344 0.0000 0.0000 Si
1.9344 0.0000 2.7063 Si
5.7166 0.0000 0.0000 Si
5.7166 0.0000 2.7063 Si
3.8255 -2.7877 4.0594 Si
3.8255 4.9989 1.3531 Os
3.8255 -4.9989 4.0594 Os
3.8255 0.6206 1.3531 Ru
3.8255 -0.6206 4.0594 Ru


Entry 11:
ZnSiOs2Ru PBE relaxed; density of states at the Fermi level = 4.367 states/eV per cell; formation energy from raw total energies = 159.4 kJ per mole of atoms
1.0
4.7243 0.0000 0.0000
0.0000 4.7243 0.0000
0.0000 0.0000 4.4299
Zn Si Os Ru
1 1 2 1
Cartesian
0.0000 0.0000 0.0000 Zn
2.3621 2.3621 0.0000 Si
0.0000 2.3621 2.2150 Os
2.3621 0.0000 2.2150 Os
2.3621 2.3621 2.2150 Ru


Entry 12:
ZrSiOsRu PBE relaxed; formation energy from raw total energies = -51.7 kJ per mole of atoms
1.0
0.0000 3.1216 3.1216
3.1216 0.0000 3.1216
3.1216 3.1216 0.0000
Zr Si Os Ru
1 1 1 1
Cartesian
0.0000 0.0000 0.0000 Zr
3.1216 3.1216 3.1216 Si
4.6824 4.6824 4.6824 Os
1.5608 1.5608 1.5608 Ru


Entry 13:
Sm2OsRu3 PBE relaxed; calculated formation energy = -1.19 eV/f.u.; density of states at the Fermi level = 14.920 states/eV per cell
1.0
5.3596 0.0000 0.0000
-2.6798 4.6416 0.0000
0.0000 0.0000 8.8970
Sm Os Ru
4 2 6
Cartesian
0.0000 3.0944 0.5805 Sm
0.0000 3.0944 3.8680 Sm
2.6798 1.5472 5.0291 Sm
2.6798 1.5472 8.3165 Sm
0.0000 0.0000 0.0000 Os
0.0000 0.0000 4.4485 Os
0.0000 1.5773 6.6728 Ru
-1.3138 3.8529 6.6728 Ru
1.3660 0.7887 2.2243 Ru
1.3138 3.8529 6.6728 Ru
3.9936 0.7887 2.2243 Ru
2.6798 3.0643 2.2243 Ru


Entry 14:
SmOsRu PBE relaxed; calculated formation energy = -0.23 eV/f.u.; polymorph energy (0 for the lowest one) = 110 meV/atom; density of states at the Fermi level = 5.864 states/eV per cell
1.0
5.0938 -2.2273 0.0000
5.0938 2.2273 0.0000
-4.8650 0.0000 5.2226
Sm Os Ru
2 2 2
Cartesian
-0.8912 0.0000 1.6513 Sm
6.2138 0.0000 3.5713 Sm
-0.9796 0.0000 4.8169 Os
6.3022 0.0000 0.4057 Os
2.1117 0.0000 1.3400 Ru
3.2110 0.0000 3.8825 Ru


Entry 15:
Sm4OsRu PBE relaxed; calculated formation energy = -1.21 eV/f.u.; density of states at the Fermi level = 7.921 states/eV per cell
1.0
4.5480 -6.6069 0.0000
4.5480 6.6069 0.0000
-3.5139 0.0000 5.2843
Sm Os Ru
8 2 2
Cartesian
0.1943 4.2924 4.7761 Sm
0.1956 0.8483 3.9018 Sm
3.6309 4.2924 3.1504 Sm
1.9525 -0.8483 1.2597 Sm
3.6297 0.8483 4.0246 Sm
1.9513 -4.2924 2.1339 Sm
5.3866 -0.8483 1.3824 Sm
5.3879 -4.2924 0.5082 Sm
3.6696 6.5987 1.3211 Os
1.9126 -6.5987 3.9632 Os
3.6696 1.7827 1.3211 Ru
1.9126 -1.7827 3.9632 Ru


Entry 16:
SmOsRu PBE relaxed; calculated formation energy = -0.56 eV/f.u.; polymorph energy (0 for the lowest one) = 0 meV/atom; density of states at the Fermi level = 7.283 states/eV per cell
1.0
-2.6142 2.7752 3.8413
2.6142 -2.7752 3.8413
2.6142 2.7752 -3.8413
Sm Os Ru
2 2 2
Cartesian
0.0000 1.3876 0.9497 Sm
2.6142 1.3876 2.8915 Sm
1.3071 1.3876 -1.9206 Os
1.3071 -1.3876 1.9206 Os
2.6142 0.0000 0.0000 Ru
0.0000 0.0000 3.8413 Ru


Entry 17:
SmTmOsRu PBE relaxed; calculated formation energy = -0.52 eV/f.u.; density of states at the Fermi level = 3.659 states/eV per cell
1.0
0.0000 3.4150 3.4150
3.4150 0.0000 3.4150
3.4150 3.4150 0.0000
Sm Tm Os Ru
1 1 1 1
Cartesian
0.0000 0.0000 0.0000 Sm
3.4150 3.4150 3.4150 Tm
1.7075 1.7075 1.7075 Os
5.1225 5.1225 5.1225 Ru


Entry 18:
SmUOsRu PBE relaxed; calculated formation energy = -0.08 eV/f.u.; polymorph energy (0 for the lowest one) = 203 meV/atom; density of states at the Fermi level = 8.251 states/eV per cell
1.0
0.0000 3.4294 3.4294
3.4294 0.0000 3.4294
3.4294 3.4294 0.0000
Sm U Os Ru
1 1 1 1
Cartesian
0.0000 0.0000 0.0000 Sm
3.4294 3.4294 3.4294 U
1.7147 1.7147 1.7147 Os
5.1440 5.1440 5.1440 Ru


Entry 19:
SmUOsRu PBE relaxed; calculated formation energy = -0.89 eV/f.u.; polymorph energy (0 for the lowest one) = 0 meV/atom; density of states at the Fermi level = 2.597 states/eV per cell
1.0
2.2170 1.2800 5.1901
-2.2170 1.2800 5.1901
0.0000 -2.5599 5.1901
Sm U Os Ru
1 1 1 1
Cartesian
0.0000 0.0000 0.0000 Sm
0.0000 0.0000 7.7760 U
0.0000 0.0000 3.2956 Os
0.0000 0.0000 12.3900 Ru


Entry 20:
SnOsRu PBE relaxed; calculated formation energy = 0.59 eV/f.u.; polymorph energy (0 for the lowest one) = 9 meV/atom; density of states at the Fermi level = 3.617 states/eV per cell
1.0
4.9903 -1.4820 0.0000
4.9903 1.4820 0.0000
-3.6888 0.0000 6.6874
Sn Os Ru
2 2 2
Cartesian
-0.4471 0.0000 2.0732 Sn
6.7389 0.0000 4.6142 Sn
-0.1253 0.0000 6.4870 Os
6.4171 0.0000 0.2004 Os
2.2271 0.0000 2.2241 Ru
4.0648 0.0000 4.4633 Ru


| no. | magnetization (μB/f.u.) | calculated total energy (eV/atom) |
| --- | --- | --- |
| 1 | 0.0 | -7.60 |
| 2 | 0.0 | -7.74 |
| 3 | 0.0 | -8.62 |
| 4 | 0.0 | -7.21 |
| 5 | 1.5 | -9.13 |
| 6 | 1.3 | -8.37 |
| 7 | 4.9 | -7.27 |
| 8 | 0.0 | -8.39 |
| 9 | 0.0 | -7.83 |
| 10 | 0.0 | -7.58 |
| 11 | 0.0 | -6.03 |
| 12 | 0.0 | -9.16 |
| 13 | 0.0 | -8.28 |
| 14 | 0.0 | -8.48 |
| 15 | 0.0 | -6.77 |
| 16 | 0.0 | -8.59 |
| 17 | 0.0 | -7.56 |
| 18 | 1.5 | -9.15 |
| 19 | 0.0 | -9.35 |
| 20 | 0.0 | -7.97 |